# 1
The following is a GGA-PBEsol calculation of a relaxed structure of BeTcAu, from Alexandria via LeMat-Bulk.

Computed properties:
* energy relative to the elements: 2.46 eV/f.u.
* electronic total energy: -5.577 eV/atom
* symmetry: F-43m (216)

Cell lengths 4.1098, 4.1098, 4.1098 Å; angles 60.00, 60.00, 60.00 degrees
Last column: nearest neighbours and their distance in Å.
Fractional positions:
Au 0.2500 0.2500 0.2500  4 Tc 2.52, 4 Be 2.52
Be 0.0000 0.0000 0.0000  4 Au 2.52
Tc 0.5000 0.5000 0.5000  4 Au 2.52

# 2
The following is a GGA-PBEsol calculation of a relaxed structure of Ba2LaCu3O8, from Alexandria via LeMat-Bulk.

Computed properties:
* E_form (uncorrected): -1.6876 eV per atom
* electronic total energy: -6.305 eV/atom
* symmetry: P4/mmm (123)

Cell lengths 3.9177, 3.9177, 11.5266 Å; angles 90.00, 90.00, 90.00 degrees
Last column: nearest neighbours and their distance in Å.
Fractional positions:
O 0.5000 0.0000 0.6331  2 Cu 1.99
O 0.5000 0.0000 0.0000  2 Cu 1.96
O 0.0000 0.0000 0.1677  2 Cu 1.93-1.96
O 0.0000 0.0000 0.8323  2 Cu 1.93-1.96
O 0.0000 0.5000 0.0000  2 Cu 1.96
O 0.0000 0.5000 0.3669  2 Cu 1.99
O 0.5000 0.0000 0.3669  2 Cu 1.99
O 0.0000 0.5000 0.6331  2 Cu 1.99
Ba 0.5000 0.5000 0.8325  12 O 2.75-3.02
Ba 0.5000 0.5000 0.1675  12 O 2.75-3.02
Cu 0.0000 0.0000 0.3374  5 O 1.96-1.99
Cu 0.0000 0.0000 0.6626  5 O 1.96-1.99
Cu 0.0000 0.0000 0.0000  6 O 1.93-1.96
La 0.5000 0.5000 0.5000  8 O 2.49

# 3
The following is a GGA-PBEsol calculation of a relaxed structure of CsGaGe, from Alexandria via LeMat-Bulk.

Computed properties:
* energy relative to the elements: -0.58 eV/f.u.
* electronic total energy: -3.266 eV/atom
* symmetry: P-6m2 (187)

Cell lengths 4.2431, 4.2431, 6.0368 Å; angles 90.00, 90.00, 120.00 degrees
Last column: nearest neighbours and their distance in Å.
Fractional positions:
Cs 0.0000 0.0000 0.0000  6 Ge 3.89, 6 Ga 3.89, 6 Cs 4.24
Ge 0.3333 0.6667 0.5000  3 Ga 2.45
Ga 0.6667 0.3333 0.5000  3 Ge 2.45

# 4
The following is a GGA-PBEsol calculation of a relaxed structure of Sc6Al16Ir7, from Alexandria via LeMat-Bulk.

Computed properties:
* energy relative to the elements: -25.06 eV/f.u.
* electronic total energy: -6.859 eV/atom
* symmetry: Fm-3m (225)

Cell lengths 8.6748, 8.6748, 8.6748 Å; angles 60.00, 60.00, 60.00 degrees
Last column: nearest neighbours and their distance in Å.
Fractional positions:
Ir 0.0000 0.0000 0.5000  8 Al 2.50-2.69
Ir 0.5000 0.0000 0.0000  8 Al 2.50-2.69
Ir 0.0000 0.5000 0.0000  8 Al 2.50-2.69
Ir 0.0000 0.5000 0.5000  8 Al 2.50-2.69
Ir 0.5000 0.5000 0.5000  8 Al 2.55
Ir 0.5000 0.0000 0.5000  8 Al 2.50-2.69
Ir 0.5000 0.5000 0.0000  8 Al 2.50-2.69
Sc 0.7921 0.7921 0.2079  8 Al 2.91-2.97, 4 Ir 3.11
Sc 0.2079 0.7921 0.2079  8 Al 2.91-2.97, 4 Ir 3.11
Sc 0.2079 0.7921 0.7921  8 Al 2.91-2.97, 4 Ir 3.11
Sc 0.7921 0.2079 0.7921  8 Al 2.91-2.97, 4 Ir 3.11
Sc 0.7921 0.2079 0.2079  8 Al 2.91-2.97, 4 Ir 3.11
Sc 0.2079 0.2079 0.7921  8 Al 2.91-2.97, 4 Ir 3.11
Al 0.3801 0.3801 0.3801  4 Ir 2.55-2.69, 3 Al 2.75
Al 0.5058 0.1647 0.1647  3 Ir 2.50, 3 Al 2.75
Al 0.8598 0.3801 0.3801  4 Ir 2.55-2.69, 3 Al 2.75
Al 0.4942 0.8353 0.8353  3 Ir 2.50, 3 Al 2.75
Al 0.8353 0.8353 0.8353  3 Ir 2.50, 3 Al 2.75
Al 0.3801 0.3801 0.8598  4 Ir 2.55-2.69, 3 Al 2.75
Al 0.1647 0.1647 0.1647  3 Ir 2.50, 3 Al 2.75
Al 0.1647 0.5058 0.1647  3 Ir 2.50, 3 Al 2.75
Al 0.1402 0.6199 0.6199  4 Ir 2.55-2.69, 3 Al 2.75
Al 0.8353 0.4942 0.8353  3 Ir 2.50, 3 Al 2.75
Al 0.1647 0.1647 0.5058  3 Ir 2.50, 3 Al 2.75
Al 0.6199 0.6199 0.6199  4 Ir 2.55-2.69, 3 Al 2.75
Al 0.6199 0.1402 0.6199  4 Ir 2.55-2.69, 3 Al 2.75
Al 0.6199 0.6199 0.1402  4 Ir 2.55-2.69, 3 Al 2.75
Al 0.8353 0.8353 0.4942  3 Ir 2.50, 3 Al 2.75
Al 0.3801 0.8598 0.3801  4 Ir 2.55-2.69, 3 Al 2.75